VASP calculation (PBE) on CoGe2Pd2 after structural relaxation.

The space group is P4/mbm (No. 127) and the conventional cell measures 7.242, 7.242 and 2.970 Å, with angles of 90.00, 90.00 and 90.00 degrees. The distinct sites, in fractional coordinates, are Co at (0.000, 0.000, 0.000), Ge at (0.165, 0.335, 0.500) and Pd at (0.138, 0.638, 0.000).

The value obtained for the total magnetic moment is 2.929 μB/cell. The electronic total energy is -0.390 Ry/atom.